Here is a relaxed Sm8TmSb6 crystal from Alexandria. Energies are from PBE.

ρ (Mg/m³): 6.80
Uncorrected formation energy (eV per atom): -0.641
DFT total energy (eV/atom): -5.105

```
15
Lattice="11.5313 0.0000 0.0000 -5.7657 9.9864 0.0000 0.0000 0.0000 4.4612" Properties=species:S:1:pos:R:3 pbc="T T T"
Sm -3.6069 7.0428 1.1495
Sm 1.4699 3.3414 1.1495
Sm 0.0000 6.6576 3.3183
Sm 3.6287 0.3977 3.3117
Sm 2.1370 9.5887 1.1495
Sm 5.7657 3.3288 1.1429
Sm 4.2958 6.6451 3.3117
Sm 9.3726 2.9436 3.3117
Tm 0.0000 0.0000 0.0000
Sb -1.2694 4.8092 1.0850
Sb -0.9661 8.6811 1.0850
Sb 3.5302 3.5039 3.3762
Sb 2.2354 6.4825 1.0850
Sb 6.7317 1.3053 3.3762
Sb 7.0350 5.1772 3.3762
```